(1)
DFT (PBE-GGA) results for a relaxed Tc2PbCl crystal.

POSCAR file:
```
Tc2PbCl
1.0
1.5450 0.8920 8.4071
-1.5450 0.8920 8.4071
0.0000 -1.7840 8.4071
Tc Pb Cl
2 1 1
Direct
0.2449 0.2449 0.2449 Tc
0.7551 0.7551 0.7551 Tc
0.0000 0.0000 0.0000 Pb
0.5000 0.5000 0.5000 Cl
```

Calculated values
density of states at the Fermi level: 5.28 states/eV/f.u.
offset from the most stable computed form: 0.736 eV per atom
formation energy from raw total energies: 0.779 eV/atom


(2)
DFT (PBE-GGA) results for a relaxed TcPbCl3 crystal.

POSCAR file:
```
TcPbCl3
1.0
5.6389 0.0000 0.0000
0.0000 5.6389 0.0000
0.0000 0.0000 5.6389
Tc Pb Cl
1 1 3
Direct
0.0000 0.0000 0.0000 Tc
0.5000 0.5000 0.5000 Pb
0.0000 0.5000 0.5000 Cl
0.5000 0.0000 0.5000 Cl
0.5000 0.5000 0.0000 Cl
```

Calculated values
density of states at the Fermi level: 11.16 states/eV/f.u.
offset from the most stable computed form: 0.367 eV per atom
formation energy from raw total energies: 0.251 eV/atom


(3)
DFT (PBE-GGA) results for a relaxed Tc2PbCl crystal.

POSCAR file:
```
Tc2PbCl
1.0
3.7344 0.0000 0.0000
0.0000 4.4990 0.0000
-0.2923 0.0000 4.9807
Tc Pb Cl
2 1 1
Direct
0.2260 0.0000 0.1524 Tc
0.7740 0.0000 0.8476 Tc
0.0000 0.5000 0.5000 Pb
0.5000 0.5000 0.0000 Cl
```

Calculated values
density of states at the Fermi level: 3.64 states/eV/f.u.
offset from the most stable computed form: 0.684 eV per atom
formation energy from raw total energies: 0.727 eV/atom


(4)
DFT (PBE-GGA) results for a relaxed TcPb2Cl crystal.

POSCAR file:
```
TcPb2Cl
1.0
1.6885 -2.9012 0.0000
1.6885 2.9012 0.0000
0.0000 0.0000 10.1833
Tc Pb Cl
1 2 1
Direct
0.0000 0.0000 0.0000 Tc
0.0000 0.0000 0.4726 Pb
0.5000 0.5000 0.7715 Pb
0.5000 0.5000 0.1777 Cl
```

Calculated values
density of states at the Fermi level: 3.30 states/eV/f.u.
offset from the most stable computed form: 0.172 eV per atom
formation energy from raw total energies: 0.357 eV/atom


(5)
DFT (PBE-GGA) results for a relaxed Tc2PbCl crystal.

POSCAR file:
```
Tc2PbCl
1.0
-3.0493 3.0493 4.7795
3.0493 -3.0493 4.7795
3.0493 3.0493 -4.7795
Tc Pb Cl
4 2 2
Direct
0.0545 0.6250 0.9295 Tc
0.3750 0.3045 0.4295 Tc
0.6955 0.1250 0.0705 Tc
0.8750 0.9455 0.5705 Tc
0.2500 0.7500 0.5000 Pb
0.5000 0.5000 0.0000 Pb
0.0000 0.0000 0.0000 Cl
0.7500 0.2500 0.5000 Cl
```

Calculated values
density of states at the Fermi level: 4.12 states/eV/f.u.
offset from the most stable computed form: 1.129 eV per atom
formation energy from raw total energies: 1.172 eV/atom


(6)
DFT (PBE-GGA) results for a relaxed Tc2PbCl crystal.

POSCAR file:
```
Tc2PbCl
1.0
-1.4958 2.6196 4.4749
1.4958 -2.6196 4.4749
1.4958 2.6196 -4.4749
Tc Pb Cl
2 1 1
Direct
0.2279 0.2279 0.0000 Tc
0.7721 0.7721 0.0000 Tc
0.5000 0.0000 0.5000 Pb
0.0000 0.5000 0.5000 Cl
```

Calculated values
density of states at the Fermi level: 5.33 states/eV/f.u.
offset from the most stable computed form: 0.748 eV per atom
formation energy from raw total energies: 0.791 eV/atom


What density values result from the calculations? In sequence: 10.48 3.81 8.70 9.12 8.20 10.39 g/cm3.